Record 1
Computed, not measured: a relaxed structure of KLiTa2 at the PBE-GGA level of DFT.

Computed properties:
Formation energy from the elements in eV per atom: 0.9445
Spin magnetization in μB/f.u.: 0.00

abc: 5.368 12.261 2.917
angles: 90.00 113.51 90.00
Space group C2/m (No. 12)
Inequivalent atoms, fractional coordinates:
K  0.000  0.000  0.000
Li  0.000  0.500  0.000
Ta  0.250  0.250  0.500

Record 2
Computed, not measured: a relaxed structure of AcPmZnHg at the PBE-GGA level of DFT.

Computed properties:
Formation energy from the elements in eV per atom: -0.3351
Spin magnetization in μB/f.u.: 0.54

abc: 7.747 7.747 7.747
angles: 90.00 90.00 90.00
Space group F-43m (No. 216)
Inequivalent atoms, fractional coordinates:
Ac  0.000  0.000  0.000
Pm  0.000  0.000  0.500
Zn  0.250  0.250  0.250
Hg  0.250  0.250  0.750

Record 3
Computed, not measured: a relaxed structure of AcThAu2 at the PBE-GGA level of DFT.

Computed properties:
Formation energy from the elements in eV per atom: -0.5839
Spin magnetization in μB/f.u.: 0.00

abc: 4.1845 4.1845 24.3290
angles: 90.00 90.00 120.00
Space group R-3m (No. 166, hexagonal axes)
Inequivalent atoms, fractional coordinates:
Ac  0.0000  0.0000  0.0000
Th  0.0000  0.0000  0.5000
Au  0.0000  0.0000  0.2432

Record 4
Computed, not measured: a relaxed structure of Sm2ErCu12Ni3 at the PBE-GGA level of DFT.

Computed properties:
Formation energy from the elements in eV per atom: 0.4158
Spin magnetization in μB/f.u.: 0.00

abc: 7.7893 7.7893 19.3532
angles: 90.00 90.00 120.00
Space group R-3m (No. 166, hexagonal axes)
Inequivalent atoms, fractional coordinates:
Sm  0.0000  0.0000  0.0942
Er  0.0000  0.0000  0.5000
Cu  0.0115  0.5058  0.3553
Cu  0.1071  0.5536  0.8854
Ni  0.0000  0.5000  0.0000

Record 5
Computed, not measured: a relaxed structure of Ba3AuO2 at the PBE-GGA level of DFT.

Computed properties:
Spin magnetization in μB/f.u.: 0.00
Formation energy (no corrections) in meV per atom: -1731

abc: 10.525 13.493 6.427
angles: 90.00 90.00 90.00
Space group Cmcm (No. 63)
Inequivalent atoms, fractional coordinates:
Ba  0.000  0.087  0.250
Ba  0.207  0.411  0.250
Au  0.000  0.391  0.750
O  0.159  0.000  0.000

Record 6
Computed, not measured: a relaxed structure of GeH2Cl2 at the PBE-GGA level of DFT.

Computed properties:
Final energy in eV per atom: -3.3487
Spin magnetization in μB/f.u.: 0.00

abc: 3.772 6.164 10.071
angles: 90.00 90.00 90.00
Space group Immm (No. 71)
Inequivalent atoms, fractional coordinates:
Ge  0.000  0.000  0.000
H  0.000  0.500  0.038
Cl  0.000  0.500  0.325

Record 7
Computed, not measured: a relaxed structure of Mo2AsOs at the PBE-GGA level of DFT.

Computed properties:
Formation energy from the elements in eV per atom: 0.2894
Spin magnetization in μB/f.u.: 0.00

abc: 3.783 3.783 8.529
angles: 90.00 90.00 90.00
Space group I-4m2 (No. 119)
Inequivalent atoms, fractional coordinates:
Mo  0.000  0.000  0.000
Mo  0.000  0.500  0.250
As  0.000  0.000  0.500
Os  0.000  0.500  0.750

Record 8
Computed, not measured: a relaxed structure of Nd3B2Pd9Pt at the PBE-GGA level of DFT.

Computed properties:
Formation energy from the elements in eV per atom: -0.6202
Spin magnetization in μB/f.u.: 0.00

abc: 5.7723 5.7723 9.4683
angles: 90.00 90.00 120.00
Space group P-3m1 (No. 164)
Inequivalent atoms, fractional coordinates:
Nd  0.0000  0.0000  0.0000
Nd  0.3333  0.6667  0.6026
B  0.3333  0.6667  0.1448
Pd  0.0000  0.5000  0.0000
Pd  0.1651  0.3302  0.2730
Pt  0.0000  0.0000  0.5000

Record 9
Computed, not measured: a relaxed structure of CaMgC at the PBE-GGA level of DFT.

Computed properties:
Formation energy from the elements in eV per atom: 0.0622
Spin magnetization in μB/f.u.: 0.00

abc: 3.861 3.509 18.545
angles: 90.00 90.00 90.00
Space group Amm2 (No. 38)
Inequivalent atoms, fractional coordinates:
Ca  0.000  0.000  0.000
Ca  0.500  0.000  0.347
Mg  0.000  0.000  0.207
Mg  0.500  0.000  0.615
C  0.000  0.000  0.796
C  0.000  0.000  0.867

Record 10
Computed, not measured: a relaxed structure of AcPm2Rh at the PBE-GGA level of DFT.

Computed properties:
Formation energy from the elements in eV per atom: -0.1857
Spin magnetization in μB/f.u.: 0.00

abc: 3.9281 3.9281 32.6183
angles: 90.00 90.00 120.00
Space group R-3m (No. 166, hexagonal axes)
Inequivalent atoms, fractional coordinates:
Ac  0.0000  0.0000  0.0000
Pm  0.0000  0.0000  0.1165
Rh  0.0000  0.0000  0.5000

Record 11
Computed, not measured: a relaxed structure of MnOsBr2 at the PBE-GGA level of DFT.

Computed properties:
Spin magnetization in μB/f.u.: 5.68
Formation energy (no corrections) in meV per atom: 988

abc: 6.219 8.613 3.356
angles: 90.00 117.47 90.00
Space group C2/m (No. 12)
Inequivalent atoms, fractional coordinates:
Mn  0.000  0.000  0.000
Os  0.000  0.500  0.000
Br  0.250  0.250  0.000

> The highest spin magnetization belongs to which entry?

MnOsBr2

> Which value of spin magnetization does entry 8 give?

0.00 μB/f.u.